*A*
! MgCoNi | Alexandria | SCAN | single point on PBEsol structure; values from VASP
! total magnetization: 0.663 μB per atom
! SG: P3m1 (156)
&SYSTEM
  ibrav = 0, nat = 3, ntyp = 3
/
ATOMIC_SPECIES
Mg 24.30 Mg.upf
Co 58.93 Co.upf
Ni 58.69 Ni.upf
CELL_PARAMETERS angstrom
2.641 0.000 0.000
-1.321 2.287 0.000
0.000 0.000 6.173
ATOMIC_POSITIONS crystal
Mg 0.000 0.000 0.000
Co 0.667 0.333 0.352
Ni 0.333 0.667 0.653

=====

*B*
! MgCoNi | Alexandria | SCAN | single point on PBEsol structure; values from VASP
! total magnetization: 0.765 μB per atom
! SG: F-43m (216)
&SYSTEM
  ibrav = 0, nat = 3, ntyp = 3
/
ATOMIC_SPECIES
Mg 24.30 Mg.upf
Co 58.93 Co.upf
Ni 58.69 Ni.upf
CELL_PARAMETERS angstrom
0.000 2.793 2.793
2.793 0.000 2.793
2.793 2.793 0.000
ATOMIC_POSITIONS crystal
Mg 0.000 0.000 0.000
Co 0.750 0.750 0.750
Ni 0.500 0.500 0.500

=====

*C*
! MgCoNi | Alexandria | SCAN | single point on PBEsol structure; values from VASP
! total magnetization: 0.656 μB per atom
! SG: Amm2 (38)
&SYSTEM
  ibrav = 0, nat = 12, ntyp = 3
/
ATOMIC_SPECIES
Mg 24.30 Mg.upf
Co 58.93 Co.upf
Ni 58.69 Ni.upf
CELL_PARAMETERS angstrom
7.665 0.000 0.000
0.000 2.365 4.169
0.000 -2.365 4.169
ATOMIC_POSITIONS crystal
Mg 0.186 0.000 0.000
Mg 0.312 0.335 0.335
Mg 0.688 0.335 0.335
Mg 0.814 0.000 0.000
Co 0.254 0.662 0.662
Co 0.500 0.330 0.847
Co 0.500 0.847 0.330
Co 0.746 0.662 0.662
Ni 0.000 0.005 0.497
Ni 0.000 0.497 0.005
Ni 0.000 0.498 0.498
Ni 0.500 0.842 0.842

=====

Preferred: *C*; penalty for the next structure: 30.3 kJ/mol of atoms.

=====

*A*
! Mg2Co3O8 | Alexandria | SCAN | single point on PBEsol structure; values from VASP
! total magnetization: 0.231 μB per atom
! SG: C2/m (12)
&SYSTEM
  ibrav = 0, nat = 13, ntyp = 3
/
ATOMIC_SPECIES
Mg 24.30 Mg.upf
Co 58.93 Co.upf
O 16.00 O.upf
CELL_PARAMETERS angstrom
4.990 -2.803 0.000
4.990 2.803 0.000
-1.587 0.000 4.466
ATOMIC_POSITIONS crystal
Mg 0.225 0.225 0.155
Mg 0.775 0.775 0.845
Co 0.241 0.759 0.500
Co 0.500 0.500 0.000
Co 0.759 0.241 0.500
O 0.104 0.104 0.431
O 0.163 0.615 0.101
O 0.385 0.837 0.899
O 0.397 0.397 0.589
O 0.603 0.603 0.411
O 0.615 0.163 0.101
O 0.837 0.385 0.899
O 0.896 0.896 0.569

=====

*B*
! Mg2Co3O8 | Alexandria | SCAN | single point on PBEsol structure; values from VASP
! total magnetization: 0.232 μB per atom
! SG: P6_3mc (186)
&SYSTEM
  ibrav = 0, nat = 26, ntyp = 3
/
ATOMIC_SPECIES
Mg 24.30 Mg.upf
Co 58.93 Co.upf
O 16.00 O.upf
CELL_PARAMETERS angstrom
5.659 0.000 0.000
-2.830 4.901 0.000
0.000 0.000 9.174
ATOMIC_POSITIONS crystal
Mg 0.333 0.667 0.000
Mg 0.333 0.667 0.401
Mg 0.667 0.333 0.500
Mg 0.667 0.333 0.901
Co 0.164 0.329 0.678
Co 0.164 0.836 0.678
Co 0.329 0.164 0.178
Co 0.671 0.836 0.678
Co 0.836 0.164 0.178
Co 0.836 0.671 0.178
O 0.000 0.000 0.074
O 0.000 0.000 0.574
O 0.039 0.519 0.563
O 0.159 0.317 0.275
O 0.159 0.841 0.275
O 0.317 0.159 0.775
O 0.333 0.667 0.784
O 0.481 0.519 0.563
O 0.481 0.961 0.563
O 0.519 0.039 0.063
O 0.519 0.481 0.063
O 0.667 0.333 0.284
O 0.683 0.841 0.275
O 0.841 0.159 0.775
O 0.841 0.683 0.775
O 0.961 0.481 0.063

=====

Preferred: *B*; penalty for the next structure: 1.3 kJ/mol of atoms.

=====

*A*
! MgCoOs | Alexandria | SCAN | single point on PBEsol structure; values from VASP
! total magnetization: 0.465 μB per atom
! SG: P3m1 (156)
&SYSTEM
  ibrav = 0, nat = 3, ntyp = 3
/
ATOMIC_SPECIES
Mg 24.30 Mg.upf
Co 58.93 Co.upf
Os 190.23 Os.upf
CELL_PARAMETERS angstrom
2.712 0.000 0.000
-1.356 2.348 0.000
0.000 0.000 6.482
ATOMIC_POSITIONS crystal
Mg 0.000 0.000 0.000
Co 0.333 0.667 0.338
Os 0.667 0.333 0.634

=====

*B*
! MgCoOs | Alexandria | SCAN | single point on PBEsol structure; values from VASP
! total magnetization: 0.001 μB per atom
! SG: F-43m (216)
&SYSTEM
  ibrav = 0, nat = 3, ntyp = 3
/
ATOMIC_SPECIES
Mg 24.30 Mg.upf
Co 58.93 Co.upf
Os 190.23 Os.upf
CELL_PARAMETERS angstrom
0.000 2.816 2.816
2.816 0.000 2.816
2.816 2.816 0.000
ATOMIC_POSITIONS crystal
Mg 0.000 0.000 0.000
Co 0.750 0.750 0.750
Os 0.500 0.500 0.500

=====

Preferred: *A*; penalty for the next structure: 28.8 kJ/mol of atoms.

=====

*A*
! MgCo2Se | Alexandria | SCAN | single point on PBEsol structure; values from VASP
! total magnetization: 0.828 μB per atom
! SG: F-43m (216)
&SYSTEM
  ibrav = 0, nat = 4, ntyp = 3
/
ATOMIC_SPECIES
Mg 24.30 Mg.upf
Co 58.93 Co.upf
Se 78.96 Se.upf
CELL_PARAMETERS angstrom
0.000 3.024 3.024
3.024 0.000 3.024
3.024 3.024 0.000
ATOMIC_POSITIONS crystal
Mg 0.000 0.000 0.000
Co 0.500 0.500 0.500
Co 0.750 0.750 0.750
Se 0.250 0.250 0.250

=====

*B*
! MgCo2Se | Alexandria | SCAN | single point on PBEsol structure; values from VASP
! total magnetization: 0.773 μB per atom
! SG: I4/mmm (139)
&SYSTEM
  ibrav = 0, nat = 4, ntyp = 3
/
ATOMIC_SPECIES
Mg 24.30 Mg.upf
Co 58.93 Co.upf
Se 78.96 Se.upf
CELL_PARAMETERS angstrom
-1.859 1.859 3.837
1.859 -1.859 3.837
1.859 1.859 -3.837
ATOMIC_POSITIONS crystal
Mg 0.000 0.000 0.000
Co 0.250 0.750 0.500
Co 0.750 0.250 0.500
Se 0.500 0.500 0.000

=====

Preferred: *B*; penalty for the next structure: 3.0 kJ/mol of atoms.

=====

*A*
! MgTaCo | Alexandria | SCAN | single point on PBEsol structure; values from VASP
! total magnetization: 0.472 μB per atom
! SG: F-43m (216)
&SYSTEM
  ibrav = 0, nat = 3, ntyp = 3
/
ATOMIC_SPECIES
Mg 24.30 Mg.upf
Ta 180.95 Ta.upf
Co 58.93 Co.upf
CELL_PARAMETERS angstrom
0.000 2.935 2.935
2.935 0.000 2.935
2.935 2.935 0.000
ATOMIC_POSITIONS crystal
Mg 0.000 0.000 0.000
Ta 0.250 0.250 0.250
Co 0.750 0.750 0.750

=====

*B*
! MgTaCo | Alexandria | SCAN | single point on PBEsol structure; values from VASP
! total magnetization: 0.613 μB per atom
! SG: I4mm (107)
&SYSTEM
  ibrav = 0, nat = 3, ntyp = 3
/
ATOMIC_SPECIES
Mg 24.30 Mg.upf
Ta 180.95 Ta.upf
Co 58.93 Co.upf
CELL_PARAMETERS angstrom
-1.451 1.451 5.535
1.451 -1.451 5.535
1.451 1.451 -5.535
ATOMIC_POSITIONS crystal
Mg 0.000 0.000 0.000
Ta 0.287 0.287 0.000
Co 0.658 0.658 0.000

=====

Preferred: *B*; penalty for the next structure: 135.7 kJ/mol of atoms.

=====

*A*
! Mg2CoTc | Alexandria | SCAN | single point on PBEsol structure; values from VASP
! total magnetization: 0.415 μB per atom
! SG: P2/m (10)
&SYSTEM
  ibrav = 0, nat = 4, ntyp = 3
/
ATOMIC_SPECIES
Mg 24.30 Mg.upf
Co 58.93 Co.upf
Tc 98.00 Tc.upf
CELL_PARAMETERS angstrom
2.603 0.000 0.000
0.000 4.345 0.000
-1.113 0.000 5.146
ATOMIC_POSITIONS crystal
Mg 0.206 0.000 0.254
Mg 0.794 0.000 0.746
Co 0.000 0.500 0.500
Tc 0.500 0.500 0.000

=====

*B*
! Mg2CoTc | Alexandria | SCAN | single point on PBEsol structure; values from VASP
! total magnetization: 0.485 μB per atom
! SG: Cmmm (65)
&SYSTEM
  ibrav = 0, nat = 4, ntyp = 3
/
ATOMIC_SPECIES
Mg 24.30 Mg.upf
Co 58.93 Co.upf
Tc 98.00 Tc.upf
CELL_PARAMETERS angstrom
2.692 -4.230 0.000
2.692 4.230 0.000
0.000 0.000 2.591
ATOMIC_POSITIONS crystal
Mg 0.000 0.500 0.000
Mg 0.500 0.000 0.000
Co 0.000 0.000 0.500
Tc 0.500 0.500 0.500

=====

Preferred: *A*; penalty for the next structure: 3.5 kJ/mol of atoms.

=====

*A*
! Mg2TlCo | Alexandria | SCAN | single point on PBEsol structure; values from VASP
! total magnetization: 0.424 μB per atom
! SG: R3m (160)
&SYSTEM
  ibrav = 0, nat = 4, ntyp = 3
/
ATOMIC_SPECIES
Mg 24.30 Mg.upf
Tl 204.38 Tl.upf
Co 58.93 Co.upf
CELL_PARAMETERS angstrom
1.566 0.904 9.124
-1.566 0.904 9.124
0.000 -1.808 9.124
ATOMIC_POSITIONS crystal
Mg 0.000 0.000 0.000
Mg 0.236 0.236 0.236
Tl 0.761 0.761 0.761
Co 0.501 0.501 0.501

=====

*B*
! Mg2TlCo | Alexandria | SCAN | single point on PBEsol structure; values from VASP
! total magnetization: 0.433 μB per atom
! SG: I-4m2 (119)
&SYSTEM
  ibrav = 0, nat = 4, ntyp = 3
/
ATOMIC_SPECIES
Mg 24.30 Mg.upf
Tl 204.38 Tl.upf
Co 58.93 Co.upf
CELL_PARAMETERS angstrom
-2.031 2.031 4.155
2.031 -2.031 4.155
2.031 2.031 -4.155
ATOMIC_POSITIONS crystal
Mg 0.000 0.000 0.000
Mg 0.750 0.250 0.500
Tl 0.500 0.500 0.000
Co 0.250 0.750 0.500

=====

*C*
! Mg2TlCo | Alexandria | SCAN | single point on PBEsol structure; values from VASP
! total magnetization: 0.449 μB per atom
! SG: Fm-3m (225)
&SYSTEM
  ibrav = 0, nat = 4, ntyp = 3
/
ATOMIC_SPECIES
Mg 24.30 Mg.upf
Tl 204.38 Tl.upf
Co 58.93 Co.upf
CELL_PARAMETERS angstrom
0.000 3.281 3.281
3.281 0.000 3.281
3.281 3.281 0.000
ATOMIC_POSITIONS crystal
Mg 0.250 0.250 0.250
Mg 0.750 0.750 0.750
Tl 0.000 0.000 0.000
Co 0.500 0.500 0.500

=====

Preferred: *C*; penalty for the next structure: 10.9 kJ/mol of atoms.

=====

*A*
! MgZrCo | Alexandria | SCAN | single point on PBEsol structure; values from VASP
! total magnetization: 0.371 μB per atom
! SG: I4mm (107)
&SYSTEM
  ibrav = 0, nat = 3, ntyp = 3
/
ATOMIC_SPECIES
Mg 24.30 Mg.upf
Zr 91.22 Zr.upf
Co 58.93 Co.upf
CELL_PARAMETERS angstrom
-1.556 1.556 5.402
1.556 -1.556 5.402
1.556 1.556 -5.402
ATOMIC_POSITIONS crystal
Mg 0.000 0.000 0.000
Zr 0.276 0.276 0.000
Co 0.653 0.653 0.000

=====

*B*
! MgZrCo | Alexandria | SCAN | single point on PBEsol structure; values from VASP
! total magnetization: 0.001 μB per atom
! SG: F-43m (216)
&SYSTEM
  ibrav = 0, nat = 3, ntyp = 3
/
ATOMIC_SPECIES
Mg 24.30 Mg.upf
Zr 91.22 Zr.upf
Co 58.93 Co.upf
CELL_PARAMETERS angstrom
0.000 3.092 3.092
3.092 0.000 3.092
3.092 3.092 0.000
ATOMIC_POSITIONS crystal
Mg 0.000 0.000 0.000
Zr 0.250 0.250 0.250
Co 0.500 0.500 0.500

=====

Preferred: *A*; penalty for the next structure: 98.8 kJ/mol of atoms.

=====

*A*
! Mn2CoNi | Alexandria | SCAN | single point on PBEsol structure; values from VASP
! total magnetization: 0.000 μB per atom
! SG: Pmm2 (25)
&SYSTEM
  ibrav = 0, nat = 4, ntyp = 3
/
ATOMIC_SPECIES
Mn 54.94 Mn.upf
Co 58.93 Co.upf
Ni 58.69 Ni.upf
CELL_PARAMETERS angstrom
2.413 0.000 0.000
0.000 3.897 0.000
0.000 0.000 4.292
ATOMIC_POSITIONS crystal
Mn 0.000 0.000 0.000
Mn 0.000 0.500 0.318
Co 0.500 0.000 0.497
Ni 0.500 0.500 0.817

=====

*B*
! Mn2CoNi | Alexandria | SCAN | single point on PBEsol structure; values from VASP
! total magnetization: 2.122 μB per atom
! SG: P2/m (10)
&SYSTEM
  ibrav = 0, nat = 4, ntyp = 3
/
ATOMIC_SPECIES
Mn 54.94 Mn.upf
Co 58.93 Co.upf
Ni 58.69 Ni.upf
CELL_PARAMETERS angstrom
2.379 0.000 0.000
0.000 4.030 0.000
-0.529 0.000 4.436
ATOMIC_POSITIONS crystal
Mn 0.234 0.000 0.252
Mn 0.766 0.000 0.748
Co 0.000 0.500 0.500
Ni 0.500 0.500 0.000

=====

*C*
! Mn2CoNi | Alexandria | SCAN | single point on PBEsol structure; values from VASP
! total magnetization: 0.402 μB per atom
! SG: I-4m2 (119)
&SYSTEM
  ibrav = 0, nat = 4, ntyp = 3
/
ATOMIC_SPECIES
Mn 54.94 Mn.upf
Co 58.93 Co.upf
Ni 58.69 Ni.upf
CELL_PARAMETERS angstrom
-1.740 1.740 3.530
1.740 -1.740 3.530
1.740 1.740 -3.530
ATOMIC_POSITIONS crystal
Mn 0.000 0.000 0.000
Mn 0.750 0.250 0.500
Co 0.250 0.750 0.500
Ni 0.500 0.500 0.000

=====

*D*
! Mn2CoNi | Alexandria | SCAN | single point on PBEsol structure; values from VASP
! total magnetization: 2.293 μB per atom
! SG: Fm-3m (225)
&SYSTEM
  ibrav = 0, nat = 4, ntyp = 3
/
ATOMIC_SPECIES
Mn 54.94 Mn.upf
Co 58.93 Co.upf
Ni 58.69 Ni.upf
CELL_PARAMETERS angstrom
0.000 2.849 2.849
2.849 0.000 2.849
2.849 2.849 0.000
ATOMIC_POSITIONS crystal
Mn 0.250 0.250 0.250
Mn 0.750 0.750 0.750
Co 0.000 0.000 0.000
Ni 0.500 0.500 0.500

=====

Preferred: *D*; penalty for the next structure: 12.4 kJ/mol of atoms.

=====

*A*
! MnCoRe2 | Alexandria | SCAN | single point on PBEsol structure; values from VASP
! total magnetization: 0.151 μB per atom
! SG: P4/mmm (123)
&SYSTEM
  ibrav = 0, nat = 4, ntyp = 3
/
ATOMIC_SPECIES
Mn 54.94 Mn.upf
Co 58.93 Co.upf
Re 186.21 Re.upf
CELL_PARAMETERS angstrom
3.710 0.000 0.000
0.000 3.710 0.000
0.000 0.000 3.614
ATOMIC_POSITIONS crystal
Mn 0.000 0.000 0.000
Co 0.500 0.500 0.000
Re 0.000 0.500 0.500
Re 0.500 0.000 0.500

=====

*B*
! MnCoRe2 | Alexandria | SCAN | single point on PBEsol structure; values from VASP
! total magnetization: 0.195 μB per atom
! SG: Pmm2 (25)
&SYSTEM
  ibrav = 0, nat = 4, ntyp = 3
/
ATOMIC_SPECIES
Mn 54.94 Mn.upf
Co 58.93 Co.upf
Re 186.21 Re.upf
CELL_PARAMETERS angstrom
2.628 0.000 0.000
0.000 4.195 0.000
0.000 0.000 4.485
ATOMIC_POSITIONS crystal
Mn 0.000 0.000 0.000
Co 0.000 0.500 0.335
Re 0.500 0.000 0.487
Re 0.500 0.500 0.843

=====

Preferred: *A*; penalty for the next structure: 4.9 kJ/mol of atoms.

=====

*A*
! Mn2CoRh | Alexandria | SCAN | single point on PBEsol structure; values from VASP
! total magnetization: 0.440 μB per atom
! SG: I-4m2 (119)
&SYSTEM
  ibrav = 0, nat = 4, ntyp = 3
/
ATOMIC_SPECIES
Mn 54.94 Mn.upf
Co 58.93 Co.upf
Rh 102.91 Rh.upf
CELL_PARAMETERS angstrom
-1.788 1.788 3.602
1.788 -1.788 3.602
1.788 1.788 -3.602
ATOMIC_POSITIONS crystal
Mn 0.000 0.000 0.000
Mn 0.750 0.250 0.500
Co 0.250 0.750 0.500
Rh 0.500 0.500 0.000

=====

*B*
! Mn2CoRh | Alexandria | SCAN | single point on PBEsol structure; values from VASP
! total magnetization: 2.261 μB per atom
! SG: Cmmm (65)
&SYSTEM
  ibrav = 0, nat = 4, ntyp = 3
/
ATOMIC_SPECIES
Mn 54.94 Mn.upf
Co 58.93 Co.upf
Rh 102.91 Rh.upf
CELL_PARAMETERS angstrom
1.420 -2.136 0.000
1.420 2.136 0.000
0.000 0.000 7.992
ATOMIC_POSITIONS crystal
Mn 0.000 0.000 0.239
Mn 0.000 0.000 0.761
Co 0.500 0.500 0.000
Rh 0.500 0.500 0.500

=====

*C*
! Mn2CoRh | Alexandria | SCAN | single point on PBEsol structure; values from VASP
! total magnetization: 2.086 μB per atom
! SG: Fm-3m (225)
&SYSTEM
  ibrav = 0, nat = 4, ntyp = 3
/
ATOMIC_SPECIES
Mn 54.94 Mn.upf
Co 58.93 Co.upf
Rh 102.91 Rh.upf
CELL_PARAMETERS angstrom
0.000 2.903 2.903
2.903 0.000 2.903
2.903 2.903 0.000
ATOMIC_POSITIONS crystal
Mn 0.250 0.250 0.250
Mn 0.750 0.750 0.750
Co 0.000 0.000 0.000
Rh 0.500 0.500 0.500

=====

*D*
! Mn2CoRh | Alexandria | SCAN | single point on PBEsol structure; values from VASP
! total magnetization: 0.978 μB per atom
! SG: P4/mmm (123)
&SYSTEM
  ibrav = 0, nat = 4, ntyp = 3
/
ATOMIC_SPECIES
Mn 54.94 Mn.upf
Co 58.93 Co.upf
Rh 102.91 Rh.upf
CELL_PARAMETERS angstrom
2.522 0.000 0.000
0.000 2.522 0.000
0.000 0.000 7.020
ATOMIC_POSITIONS crystal
Mn 0.000 0.000 0.237
Mn 0.000 0.000 0.763
Co 0.500 0.500 0.000
Rh 0.500 0.500 0.500

=====

Preferred: *C*; penalty for the next structure: 7.0 kJ/mol of atoms.